## Be4Fe9C (PBE)

Data for an optimized crystal structure of Be4Fe9C.

extended XYZ file:
```
28
Lattice="-0.0195 -3.5520 -5.7228 3.2487 -4.9767 3.0779 -6.6919 0.1056 -0.0428" Properties=species:S:1:pos:R:3 pbc="T T T"
Be -1.1238 -1.4141 -1.1003
Be -5.5993 -1.3435 -1.1290
Be -3.4266 -4.6718 0.9295
Be -2.3388 -7.0090 -1.5874
Be 2.1366 -7.0796 -1.5588
Be -0.0361 -3.7513 -3.6172
Be 0.0000 0.0000 0.0000
Be -0.0097 -1.7760 -2.8614
Fe -1.3897 -4.1142 2.0914
Fe 1.2324 -4.1556 2.1082
Fe -0.0406 -2.2055 0.9022
Fe -2.0729 -4.3089 -4.7791
Fe -4.6951 -4.2675 -4.7959
Fe -3.4221 -6.2176 -3.5899
Fe -2.0655 -2.9513 -2.5918
Fe -4.6876 -2.9099 -2.6086
Fe -3.4146 -4.8599 -1.4026
Fe -1.3972 -5.4718 -0.0959
Fe 1.2250 -5.5132 -0.0791
Fe -0.0480 -3.5631 -1.2851
Fe -4.6053 -3.0511 -0.0725
Fe -2.1846 -3.0893 -0.0570
Fe -3.3598 -1.2891 -1.1704
Fe 1.1427 -5.3720 -2.6152
Fe -1.2781 -5.3338 -2.6307
Fe -0.1029 -7.1340 -1.5173
C -0.0697 -4.1706 0.6070
C -3.3930 -4.2525 -3.2947
```

Calculated values
- space-group type = P6_3/mmc (194)
- ΔE_f (eV per atom) = -0.085
- total magnetization (μB per cell) = 25.79
- crystal system = hexagonal